Material: CaNd2Zn
Method: DFT, PBE
State: relaxed

The structure belongs to space group P4/mmm (No. 123); the cell edges are 5.352, 5.352 and 4.177 Å and the angles 90.00°, 90.00° and 90.00°. The asymmetric unit holds Ca at (0.000, 0.000, 0.000), Nd at (0.000, 0.500, 0.500) and Zn at (0.500, 0.500, 0.000).

The volume comes out at 120 Å³ per cell. Its energy is -3.20 eV per atom. As for the calculated formation energy: 0.7 kJ/mol of atoms.

---

Material: LaCuSb2
Method: DFT, PBE
State: relaxed

The structure belongs to space group P4/mmm (No. 123); the cell edges are 3.842, 3.842 and 6.753 Å and the angles 90.00°, 90.00° and 90.00°. The asymmetric unit holds La at (0.000, 0.000, 0.000), Cu at (0.000, 0.000, 0.500) and Sb at (0.500, 0.500, 0.293).

The volume comes out at 100 Å³ per cell. Its energy is -4.59 eV per atom.

---

Material: TaP2IrS
Method: DFT, PBE
State: relaxed

The structure belongs to space group P4/mmm (No. 123); the cell edges are 4.508, 4.508 and 4.687 Å and the angles 90.00°, 90.00° and 90.00°. The asymmetric unit holds Ta at (0.000, 0.000, 0.000), P at (0.000, 0.500, 0.500), Ir at (0.500, 0.500, 0.500) and S at (0.500, 0.500, 0.000).

The volume comes out at 95 Å³ per cell. Its energy is -6.17 eV per atom.

---

Material: Zr6SnBi3
Method: DFT, PBE
State: relaxed

The structure belongs to space group Cmc2_1 (No. 36); the cell edges are 9.120, 14.598 and 7.660 Å and the angles 90.00°, 90.00° and 90.00°. The asymmetric unit holds Zr at (0.000, 0.040, 0.000), Zr at (0.000, 0.253, 0.273), Zr at (0.199, 0.416, 0.166), Zr at (0.216, 0.221, 0.981), Sn at (0.000, 0.175, 0.686), Bi at (0.000, 0.424, 0.494) and Bi at (0.215, 0.097, 0.297).

The volume comes out at 1020 Å³ per cell. Its energy is -6.91 eV per atom. As for the calculated formation energy: -20.5 kJ/mol of atoms.

---

Material: Ba2NdTm3O8
Method: DFT, PBE
State: relaxed

The structure belongs to space group R3m (No. 160, hexagonal axes); the cell edges are 6.9417, 6.9417 and 18.1958 Å and the angles 90.00°, 90.00° and 120.00°. The asymmetric unit holds Ba at (0.0000, 0.0000, 0.0000), Ba at (0.0000, 0.0000, 0.3770), Nd at (0.0000, 0.0000, 0.7603), Tm at (0.0072, 0.5036, 0.8779), O at (0.0000, 0.0000, 0.1472), O at (0.0000, 0.0000, 0.6168), O at (0.0113, 0.5056, 0.1425) and O at (0.1863, 0.3726, 0.9396).

The volume comes out at 759 Å³ per cell. Its energy is -7.59 eV per atom.

---

Material: MnCd3W
Method: DFT, PBE
State: relaxed

The structure belongs to space group Pm-3m (No. 221); the cell edges are 4.962, 4.962 and 4.962 Å and the angles 90.00°, 90.00° and 90.00°. The asymmetric unit holds Mn at (0.000, 0.000, 0.000), Cd at (0.000, 0.000, 0.500) and W at (0.500, 0.500, 0.500).

The volume comes out at 122 Å³ per cell. Its energy is -3.36 eV per atom. As for the calculated formation energy: 155.8 kJ/mol of atoms.